Model i:
This record from the Alexandria database describes a geometry-optimized SeSF3 structure. The functional is PBE.

Calculated values
magnetic moment = 2.0 μB per formula unit

Structure (extended XYZ):
```
5
Lattice="-0.8967 3.2522 -2.6805 -2.4875 -2.6207 -2.3474 -3.4021 1.0590 2.4229" Properties=species:S:1:pos:R:3 pbc="T T T"
S -3.3932 0.8453 -1.3025
Se 0.0000 0.0000 0.0000
F -1.2438 -1.3103 -1.1737
F -1.7010 0.5295 1.2115
F -0.4484 1.6261 -1.3403
```

---

Model ii:
This record from the Alexandria database describes a geometry-optimized SeSF3 structure. The functional is PBE.

Calculated values
magnetic moment = 2.6 μB per formula unit

Structure (extended XYZ):
```
5
Lattice="4.2845 0.0000 0.0000 0.0000 4.2845 0.0000 0.0000 0.0000 4.2845" Properties=species:S:1:pos:R:3 pbc="T T T"
S 0.0000 0.0000 0.0000
Se 2.1422 2.1422 2.1422
F 0.0000 2.1422 0.0000
F 0.0000 0.0000 2.1422
F 2.1422 0.0000 0.0000
```

---

model i comes first in stability; the runner-up is 164 meV/atom higher.

---

Model i:
This record from the Alexandria database describes a geometry-optimized SiSF2 structure. The functional is PBE.

Calculated values
magnetic moment = 0.3 μB per formula unit

Structure (extended XYZ):
```
4
Lattice="7.3460 6.3081 3.0597 7.7517 4.3970 4.8678 8.8967 4.2262 2.4708" Properties=species:S:1:pos:R:3 pbc="T T T"
S 11.9972 7.4656 5.1991
Si 0.0000 0.0000 0.0000
F 22.6950 14.1227 9.8351
F 1.2994 0.8086 0.5631
```

---

Model ii:
This record from the Alexandria database describes a geometry-optimized SiSF2 structure. The functional is PBE.

Calculated values
magnetic moment = 2.0 μB per formula unit

Structure (extended XYZ):
```
4
Lattice="-3.3179 -2.4629 1.0668 -3.7687 0.5451 -1.9266 -1.4424 -2.9397 -2.7368" Properties=species:S:1:pos:R:3 pbc="T T T"
S -4.2645 -2.4287 -1.7983
Si 0.0000 0.0000 0.0000
F -2.1322 -1.2144 -0.8992
F -6.3967 -3.6431 -2.6975
```

---

Model iii:
This record from the Alexandria database describes a geometry-optimized SiSF2 structure. The functional is PBE.

Calculated values
magnetic moment = 0.0 μB per formula unit

Structure (extended XYZ):
```
16
Lattice="-2.6354 4.0848 -0.9874 -1.3141 0.5111 5.6319 10.2316 7.0253 1.7541" Properties=species:S:1:pos:R:3 pbc="T T T"
Si 3.1222 2.4990 2.0002
Si 3.1599 9.1222 4.3984
Si 0.0161 3.3131 1.1984
Si 6.2660 8.3081 5.2001
S 5.0164 8.5979 3.5043
S 1.2657 3.0233 2.8943
S 5.7272 6.7898 6.5879
S 0.5548 4.8315 -0.1894
F -0.0592 1.9935 0.2987
F 6.3413 9.6277 6.0999
F 1.4839 6.4745 2.2579
F 4.7982 5.1467 4.1407
F 7.7048 8.0287 4.5612
F -1.4228 3.5925 1.8373
F 2.6427 7.9731 5.3825
F 3.6394 3.6481 1.0161
```

---

model iii comes first in stability; the runner-up is 1027 meV/atom higher.